No. 1
The following is a DFT calculation (GGA-PBE) of a relaxed Nd2SmHg8 crystal.

```
11
Lattice="-2.613 3.750 7.384 2.613 -3.750 7.384 2.613 3.750 -7.384" Properties=species:S:1:pos:R:3 pbc="T T T"
Nd 0.000 0.000 2.859
Nd 0.000 0.000 11.909
Sm 0.000 0.000 7.384
Hg 2.613 1.576 -2.140
Hg 0.000 1.597 0.000
Hg 2.613 0.000 5.068
Hg 2.613 1.576 2.140
Hg 0.000 2.173 5.244
Hg 0.000 3.750 2.316
Hg 0.000 5.902 0.000
Hg 0.000 2.173 9.525
```

Distance to the lowest polymorph of the same formula ... 11 meV/atom
E_form ... -344 meV per atom



No. 2
The following is a DFT calculation (GGA-PBE) of a relaxed SrRhBr2 crystal.

```
8
Lattice="7.688 0.000 0.000 0.000 5.402 0.000 -2.547 0.000 4.868" Properties=species:S:1:pos:R:3 pbc="T T T"
Sr 0.000 0.000 0.000
Sr 3.844 2.701 0.000
Rh -1.274 2.701 2.434
Rh 2.570 0.000 2.434
Br 1.052 2.701 1.444
Br 0.245 0.000 3.424
Br 4.896 0.000 1.444
Br 4.088 2.701 3.424
```

Distance to the lowest polymorph of the same formula ... 132 meV/atom
Formation energy (no corrections) ... -737 meV per atom



Q: Which of these has the highest distance to the lowest polymorph of the same formula?
A: SrRhBr2



Q: The highest distance to the lowest polymorph of the same formula belongs to which entry?
A: SrRhBr2